# 1
Computed, not measured: an optimized crystal structure of AlAgOs2 at the GGA-PBE level of DFT.

Cell: 4.018 3.867 3.867 Å, 90.00 90.00 90.00°
Element x y z (fractional)
Os: 0.000 0.500 0.500
Ag: 0.500 0.500 0.000
Os: 0.000 0.000 0.000
Al: 0.500 0.000 0.500

Computed properties:
Energy of formation ... 0.462 eV per atom
Space-group type ... P4/mmm (123)
Magnetization ... 0.001 μB per atom

# 2
Computed, not measured: an optimized crystal structure of Rb2AlAu3 at the GGA-PBE level of DFT.

Cell: 5.425 8.650 8.650 Å, 69.29 89.95 89.95°
Element x y z (fractional)
Rb: 0.750 0.173 0.512
Au: 0.750 0.600 0.400
Au: 0.250 0.400 0.600
Rb: 0.250 0.512 0.173
Au: 0.501 0.877 0.877
Au: 0.001 0.877 0.877
Au: 0.999 0.123 0.123
Rb: 0.250 0.827 0.488
Al: 0.750 0.859 0.141
Al: 0.250 0.141 0.859
Rb: 0.750 0.488 0.827
Au: 0.499 0.123 0.123

Computed properties:
Energy of formation ... -0.300 eV per atom
Space-group type ... C2/c (15)
Magnetization ... 0.000 μB per atom

# 3
Computed, not measured: an optimized crystal structure of CaCuTc2 at the GGA-PBE level of DFT.

Cell: 5.845 5.845 4.553 Å, 66.98 66.98 27.85°
Element x y z (fractional)
Ca: 0.250 0.250 0.250
Cu: 0.750 0.750 0.750
Tc: 0.467 0.467 0.533
Tc: 0.033 0.033 0.967

Computed properties:
Energy of formation ... 0.423 eV per atom
Space-group type ... C2/m (12)
Magnetization ... 0.000 μB per atom

# 4
Computed, not measured: an optimized crystal structure of Cd3Au at the GGA-PBE level of DFT.

Cell: 7.806 8.657 5.276 Å, 90.00 90.00 90.00°
Element x y z (fractional)
Au: 0.865 0.250 0.424
Au: 0.365 0.250 0.076
Cd: 0.488 0.750 0.414
Cd: 0.325 0.562 0.917
Cd: 0.512 0.250 0.586
Cd: 0.825 0.938 0.583
Cd: 0.988 0.750 0.086
Cd: 0.175 0.438 0.417
Cd: 0.175 0.062 0.417
Cd: 0.675 0.438 0.083
Au: 0.135 0.750 0.576
Cd: 0.825 0.562 0.583
Cd: 0.012 0.250 0.914
Cd: 0.675 0.062 0.083
Au: 0.635 0.750 0.924
Cd: 0.325 0.938 0.917

Computed properties:
Energy of formation ... -0.136 eV per atom
Space-group type ... Pnma (62)
Magnetization ... 0.000 μB per atom

# 5
Computed, not measured: an optimized crystal structure of Na3HoU3N8 at the GGA-PBE level of DFT.

Cell: 6.972 6.972 6.972 Å, 120.01 90.00 120.00°
Element x y z (fractional)
N: 0.234 0.469 0.669
N: 0.234 0.935 0.669
N: 0.700 0.935 0.669
N: 0.300 0.065 0.331
U: 0.000 0.500 0.500
Na: 0.500 0.500 0.000
Na: 0.000 0.500 0.000
U: 0.500 0.500 0.500
N: 0.766 0.531 0.331
Ho: 0.000 0.000 0.500
N: 0.270 0.541 0.311
N: 0.766 0.065 0.331
N: 0.730 0.459 0.689
U: 0.500 0.000 0.500
Na: 0.000 0.000 0.000

Computed properties:
E_form (uncorrected) ... -24.3 kcal/mol of atoms
Space-group type ... R-3m (166)
Magnetization ... 0.000 μB per atom

# 6
Computed, not measured: an optimized crystal structure of LiLaAgGe2 at the GGA-PBE level of DFT.

Cell: 4.304 4.304 6.346 Å, 109.82 109.82 90.00°
Element x y z (fractional)
Ge: 0.389 0.389 0.777
Ag: 0.750 0.250 0.500
La: 0.000 0.000 0.000
Li: 0.250 0.750 0.500
Ge: 0.611 0.611 0.223

Computed properties:
Energy of formation ... -0.583 eV per atom
Space-group type ... I-4m2 (119)
Magnetization ... 0.000 μB per atom

# 7
Computed, not measured: an optimized crystal structure of GeBMoRu2 at the GGA-PBE level of DFT.

Cell: 4.019 4.331 4.019 Å, 90.00 90.00 90.00°
Element x y z (fractional)
Ge: 0.000 0.500 0.000
Ru: 0.500 0.000 0.000
B: 0.000 0.000 0.000
Ru: 0.000 0.000 0.500
Mo: 0.500 0.500 0.500

Computed properties:
Energy of formation ... 0.458 eV per atom
Space-group type ... P4/mmm (123)
Magnetization ... 0.001 μB per atom

# 8
Computed, not measured: an optimized crystal structure of SrTaTeI2 at the GGA-PBE level of DFT.

Cell: 6.082 6.082 6.437 Å, 90.00 90.00 90.00°
Last column: magnetic moment on the atom in μB.
Element x y z (fractional)
I: 0.000 0.500 0.000  -0.03
I: 0.500 0.000 0.000  -0.03
Sr: 0.000 0.000 0.000  0.00
Ta: 0.500 0.500 0.500  2.36
Te: 0.000 0.000 0.500  -0.32

Computed properties:
E_form (uncorrected) ... 16.2 kcal/mol of atoms
Space-group type ... P4/mmm (123)
Magnetization ... 0.598 μB per atom